First-principles (PBE) data for a geometry-optimized AlZnIrPd structure, as listed in the Alexandria database.

```
AlZnIrPd
1.0
3.0054 0.0000 0.0000
0.0000 3.0054 0.0000
0.0000 0.0000 6.2696
Al Zn Ir Pd
1 1 1 1
Direct
0.0000 0.0000 0.0000 Al
0.0000 0.0000 0.5138 Zn
0.5000 0.5000 0.7707 Ir
0.5000 0.5000 0.2530 Pd
```

The total magnetization is 0.0 μB/cell. As for the space group: No. 99. Its formation energy is -688 meV/atom. The crystal system is tetragonal.

First-principles (PBE) data for a geometry-optimized PmAlIr structure, as listed in the Alexandria database.

```
PmAlIr
1.0
1.8301 -5.6844 0.0000
1.8301 5.6844 0.0000
0.0000 0.0000 5.9346
Pm Al Ir
2 2 2
Direct
0.1832 0.8168 0.7500 Pm
0.8168 0.1832 0.2500 Pm
0.0890 0.9110 0.2500 Al
0.9110 0.0890 0.7500 Al
0.5000 0.5000 0.0000 Ir
0.5000 0.5000 0.5000 Ir
```

The total magnetization is 0.0 μB/cell. As for the space group: No. 63. Its formation energy is -718 meV/atom. The crystal system is orthorhombic.

First-principles (PBE) data for a geometry-optimized Pm2AlIr3 structure, as listed in the Alexandria database.

```
Pm2AlIr3
1.0
2.8318 1.6349 4.0576
-2.8318 1.6349 4.0576
0.0000 -3.2698 4.0576
Pm Al Ir
2 1 3
Direct
0.1263 0.1263 0.1263 Pm
0.8737 0.8737 0.8737 Pm
0.5000 0.5000 0.5000 Al
0.0000 0.5000 0.5000 Ir
0.5000 0.0000 0.5000 Ir
0.5000 0.5000 0.0000 Ir
```

The total magnetization is 0.0 μB/cell. As for the space group: No. 166. Its formation energy is -823 meV/atom. The crystal system is trigonal.

First-principles (PBE) data for a geometry-optimized Pm3Al7Ir4 structure, as listed in the Alexandria database.

```
Pm3Al7Ir4
1.0
7.8367 -2.1437 0.0000
7.8367 2.1437 0.0000
-5.5518 0.0000 7.8233
Pm Al Ir
3 7 4
Direct
0.0000 0.0000 0.0000 Pm
0.3080 0.3080 0.3013 Pm
0.6920 0.6920 0.6987 Pm
0.0000 0.0000 0.5000 Al
0.1582 0.1582 0.4214 Al
0.3154 0.3154 0.9755 Al
0.4955 0.4955 0.7107 Al
0.5045 0.5045 0.2893 Al
0.6846 0.6846 0.0245 Al
0.8418 0.8418 0.5786 Al
0.1103 0.1103 0.8329 Ir
0.3381 0.3381 0.7169 Ir
0.6619 0.6619 0.2831 Ir
0.8897 0.8897 0.1671 Ir
```

The total magnetization is 0.0 μB/cell. As for the space group: No. 12. Its formation energy is -794 meV/atom. The crystal system is monoclinic.

First-principles (PBE) data for a geometry-optimized Pm3Al9Ir2 structure, as listed in the Alexandria database.

```
Pm3Al9Ir2
1.0
-2.1687 4.8983 6.2963
2.1687 -4.8983 6.2963
2.1687 4.8983 -6.2963
Pm Al Ir
3 9 2
Direct
0.0000 0.0000 0.0000 Pm
0.2971 0.2971 0.0000 Pm
0.7029 0.7029 0.0000 Pm
0.0126 0.6527 0.3598 Al
0.1569 0.8737 0.2832 Al
0.2929 0.6527 0.6402 Al
0.4096 0.1263 0.2832 Al
0.5000 0.0000 0.5000 Al
0.5904 0.8737 0.7168 Al
0.7071 0.3473 0.3598 Al
0.8431 0.1263 0.7168 Al
0.9874 0.3473 0.6402 Al
0.3154 0.5000 0.8154 Ir
0.6846 0.5000 0.1846 Ir
```

The total magnetization is 0.0 μB/cell. As for the space group: No. 71. Its formation energy is -643 meV/atom. The crystal system is orthorhombic.

First-principles (PBE) data for a geometry-optimized Pm3Al3Ir structure, as listed in the Alexandria database.

```
Pm3Al3Ir
1.0
5.8157 -1.9878 0.0000
5.8157 1.9878 0.0000
-4.4980 0.0000 14.7295
Pm Al Ir
6 6 2
Direct
0.0184 0.0184 0.3874 Pm
0.1215 0.1215 0.9205 Pm
0.2404 0.2404 0.2401 Pm
0.7596 0.7596 0.7599 Pm
0.8785 0.8785 0.0795 Pm
0.9816 0.9816 0.6126 Pm
0.3216 0.3216 0.4650 Al
0.4040 0.4040 0.9253 Al
0.4741 0.4741 0.7698 Al
0.5259 0.5259 0.2302 Al
0.5960 0.5960 0.0747 Al
0.6784 0.6784 0.5350 Al
0.2806 0.2806 0.6240 Ir
0.7194 0.7194 0.3760 Ir
```

The total magnetization is 0.0 μB/cell. As for the space group: No. 12. Its formation energy is -557 meV/atom. The crystal system is monoclinic.

First-principles (PBE) data for a geometry-optimized PmAl4Ir2 structure, as listed in the Alexandria database.

```
PmAl4Ir2
1.0
7.6219 0.0000 0.0000
0.0000 7.6219 0.0000
0.0000 0.0000 4.2350
Pm Al Ir
2 8 4
Direct
0.0000 0.0000 0.0000 Pm
0.5000 0.5000 0.5000 Pm
0.0884 0.3380 0.5000 Al
0.1620 0.5884 0.0000 Al
0.3380 0.0884 0.5000 Al
0.4116 0.8380 0.0000 Al
0.5884 0.1620 0.0000 Al
0.6620 0.9116 0.5000 Al
0.8380 0.4116 0.0000 Al
0.9116 0.6620 0.5000 Al
0.2242 0.7758 0.5000 Ir
0.2758 0.2758 0.0000 Ir
0.7242 0.7242 0.0000 Ir
0.7758 0.2242 0.5000 Ir
```

The total magnetization is 0.0 μB/cell. As for the space group: No. 136. Its formation energy is -794 meV/atom. The crystal system is tetragonal.

First-principles (PBE) data for a geometry-optimized PmAl12Ir4 structure, as listed in the Alexandria database.

```
PmAl12Ir4
1.0
-4.4076 4.4076 4.4076
4.4076 -4.4076 4.4076
4.4076 4.4076 -4.4076
Pm Al Ir
1 12 4
Direct
0.0000 0.0000 0.0000 Pm
0.1636 0.3339 0.8297 Al
0.1703 0.5043 0.3339 Al
0.1703 0.8364 0.6661 Al
0.3339 0.1703 0.5043 Al
0.3339 0.8297 0.1636 Al
0.4957 0.6661 0.8297 Al
0.5043 0.3339 0.1703 Al
0.6661 0.1703 0.8364 Al
0.6661 0.8297 0.4957 Al
0.8297 0.1636 0.3339 Al
0.8297 0.4957 0.6661 Al
0.8364 0.6661 0.1703 Al
0.0000 0.0000 0.5000 Ir
0.0000 0.5000 0.0000 Ir
0.5000 0.0000 0.0000 Ir
0.5000 0.5000 0.5000 Ir
```

The total magnetization is 0.0 μB/cell. As for the space group: No. 204. Its formation energy is -240 meV/atom. The crystal system is cubic.

First-principles (PBE) data for a geometry-optimized PmAlIr structure, as listed in the Alexandria database.

```
PmAlIr
1.0
4.3178 0.0000 0.0000
-2.1589 3.7394 0.0000
0.0000 0.0000 4.0126
Pm Al Ir
1 1 1
Direct
0.0000 0.0000 0.0000 Pm
0.6667 0.3333 0.5000 Al
0.3333 0.6667 0.5000 Ir
```

The total magnetization is 0.0 μB/cell. As for the space group: No. 187. Its formation energy is -706 meV/atom. The crystal system is hexagonal.

First-principles (PBE) data for a geometry-optimized Pm2AlIr3 structure, as listed in the Alexandria database.

```
Pm2AlIr3
1.0
-2.0957 2.7342 5.5838
2.0957 -2.7342 5.5838
2.0957 2.7342 -5.5838
Pm Al Ir
2 1 3
Direct
0.1832 0.1832 0.0000 Pm
0.8168 0.8168 0.0000 Pm
0.5000 0.5000 0.0000 Al
0.0000 0.5000 0.5000 Ir
0.3776 0.8776 0.5000 Ir
0.6224 0.1224 0.5000 Ir
```

The total magnetization is 0.0 μB/cell. As for the space group: No. 71. Its formation energy is -290 meV/atom. The crystal system is orthorhombic.

First-principles (PBE) data for a geometry-optimized Pm3AlIr3 structure, as listed in the Alexandria database.

```
Pm3AlIr3
1.0
2.0733 -5.2977 0.0000
2.0733 5.2977 0.0000
0.0000 0.0000 14.0247
Pm Al Ir
6 2 6
Direct
0.0109 0.9891 0.7500 Pm
0.2914 0.7086 0.6066 Pm
0.2914 0.7086 0.8934 Pm
0.7086 0.2914 0.1066 Pm
0.7086 0.2914 0.3934 Pm
0.9891 0.0109 0.2500 Pm
0.0000 0.0000 0.0000 Al
0.0000 0.0000 0.5000 Al
0.2741 0.7259 0.2500 Ir
0.4214 0.5786 0.0877 Ir
0.4214 0.5786 0.4123 Ir
0.5786 0.4214 0.5877 Ir
0.5786 0.4214 0.9123 Ir
0.7259 0.2741 0.7500 Ir
```

The total magnetization is 0.0 μB/cell. As for the space group: No. 63. Its formation energy is -786 meV/atom. The crystal system is orthorhombic.

First-principles (PBE) data for a geometry-optimized Pm2Al8Ir structure, as listed in the Alexandria database.

```
Pm2Al8Ir
1.0
4.3356 0.0000 0.0000
0.0000 4.3356 0.0000
0.0000 0.0000 11.3590
Pm Al Ir
2 8 1
Direct
0.0000 0.0000 0.1919 Pm
0.0000 0.0000 0.8081 Pm
0.0000 0.5000 0.0000 Al
0.0000 0.5000 0.3820 Al
0.0000 0.5000 0.6180 Al
0.5000 0.0000 0.0000 Al
0.5000 0.0000 0.3820 Al
0.5000 0.0000 0.6180 Al
0.5000 0.5000 0.1947 Al
0.5000 0.5000 0.8053 Al
0.0000 0.0000 0.5000 Ir
```

The total magnetization is 0.0 μB/cell. As for the space group: No. 123. Its formation energy is -538 meV/atom. The crystal system is tetragonal.

First-principles (PBE) data for a geometry-optimized PmAl2Ir2 structure, as listed in the Alexandria database.

```
PmAl2Ir2
1.0
-2.1036 2.1036 10.5465
2.1036 -2.1036 10.5465
2.1036 2.1036 -10.5465
Pm Al Ir
2 4 4
Direct
0.1324 0.1324 0.0000 Pm
0.8676 0.8676 0.0000 Pm
0.0000 0.5000 0.5000 Al
0.3117 0.3117 0.0000 Al
0.5000 0.0000 0.5000 Al
0.6883 0.6883 0.0000 Al
0.2500 0.7500 0.5000 Ir
0.4309 0.4309 0.0000 Ir
0.5691 0.5691 0.0000 Ir
0.7500 0.2500 0.5000 Ir
```

The total magnetization is 0.0 μB/cell. As for the space group: No. 139. Its formation energy is -855 meV/atom. The crystal system is tetragonal.

First-principles (PBE) data for a geometry-optimized Pm2Al3Ir2 structure, as listed in the Alexandria database.

```
Pm2Al3Ir2
1.0
5.2998 -2.0678 0.0000
5.2998 2.0678 0.0000
-3.2153 0.0000 6.4459
Pm Al Ir
2 3 2
Direct
0.1416 0.1416 0.2697 Pm
0.8584 0.8584 0.7303 Pm
0.3539 0.3539 0.0628 Al
0.5000 0.5000 0.5000 Al
0.6461 0.6461 0.9372 Al
0.1347 0.1347 0.7054 Ir
0.8653 0.8653 0.2946 Ir
```

The total magnetization is 0.0 μB/cell. As for the space group: No. 12. Its formation energy is -813 meV/atom. The crystal system is monoclinic.

First-principles (PBE) data for a geometry-optimized Pm3Al3Ir2 structure, as listed in the Alexandria database.

```
Pm3Al3Ir2
1.0
7.9437 0.0000 0.0000
0.0000 15.2487 0.0000
0.0000 0.0000 5.8772
Pm Al Ir
12 12 8
Direct
0.0291 0.1085 0.1037 Pm
0.0291 0.3915 0.1037 Pm
0.1635 0.2500 0.6192 Pm
0.3365 0.7500 0.1192 Pm
0.4709 0.6085 0.6037 Pm
0.4709 0.8915 0.6037 Pm
0.5291 0.1085 0.3963 Pm
0.5291 0.3915 0.3963 Pm
0.6635 0.2500 0.8808 Pm
0.8365 0.7500 0.3808 Pm
0.9709 0.6085 0.8963 Pm
0.9709 0.8915 0.8963 Pm
0.1570 0.0363 0.5966 Al
0.1570 0.4637 0.5966 Al
0.1795 0.7500 0.6031 Al
0.3205 0.2500 0.1031 Al
0.3430 0.5363 0.0966 Al
0.3430 0.9637 0.0966 Al
0.6570 0.0363 0.9034 Al
0.6570 0.4637 0.9034 Al
0.6795 0.7500 0.8969 Al
0.8205 0.2500 0.3969 Al
0.8430 0.5363 0.4034 Al
0.8430 0.9637 0.4034 Al
0.1360 0.6044 0.3705 Ir
0.1360 0.8956 0.3705 Ir
0.3640 0.1044 0.8705 Ir
0.3640 0.3956 0.8705 Ir
0.6360 0.6044 0.1295 Ir
0.6360 0.8956 0.1295 Ir
0.8640 0.1044 0.6295 Ir
0.8640 0.3956 0.6295 Ir
```

The total magnetization is 0.0 μB/cell. As for the space group: No. 62. Its formation energy is -718 meV/atom. The crystal system is orthorhombic.

First-principles (PBE) data for a geometry-optimized Pm2Al9Ir6 structure, as listed in the Alexandria database.

```
Pm2Al9Ir6
1.0
5.5025 0.0000 0.0000
-2.7513 4.7653 0.0000
0.0000 0.0000 12.0442
Pm Al Ir
2 9 6
Direct
0.0000 0.0000 0.1665 Pm
0.0000 0.0000 0.8335 Pm
0.0000 0.5000 0.0000 Al
0.0000 0.5000 0.3391 Al
0.0000 0.5000 0.6609 Al
0.5000 0.0000 0.0000 Al
0.5000 0.0000 0.3391 Al
0.5000 0.0000 0.6609 Al
0.5000 0.5000 0.0000 Al
0.5000 0.5000 0.3391 Al
0.5000 0.5000 0.6609 Al
0.3333 0.6667 0.1719 Ir
0.3333 0.6667 0.5000 Ir
0.3333 0.6667 0.8281 Ir
0.6667 0.3333 0.1719 Ir
0.6667 0.3333 0.5000 Ir
0.6667 0.3333 0.8281 Ir
```

The total magnetization is 0.0 μB/cell. As for the space group: No. 191. Its formation energy is -622 meV/atom. The crystal system is hexagonal.

First-principles (PBE) data for a geometry-optimized PmAl2Ir structure, as listed in the Alexandria database.

```
PmAl2Ir
1.0
2.1192 1.2235 5.2539
-2.1192 1.2235 5.2539
0.0000 -2.4470 5.2539
Pm Al Ir
1 2 1
Direct
0.0000 0.0000 0.0000 Pm
0.2071 0.2071 0.2071 Al
0.7929 0.7929 0.7929 Al
0.5000 0.5000 0.5000 Ir
```

The total magnetization is 0.0 μB/cell. As for the space group: No. 166. Its formation energy is -728 meV/atom. The crystal system is trigonal.

First-principles (PBE) data for a geometry-optimized Pm8AlIr2 structure, as listed in the Alexandria database.

```
Pm8AlIr2
1.0
4.4542 -6.7644 0.0000
4.4542 6.7644 0.0000
-1.3338 0.0000 5.3943
Pm Al Ir
8 1 2
Direct
0.0710 0.3237 0.5667 Pm
0.2469 0.7531 0.0000 Pm
0.3237 0.0710 0.5667 Pm
0.3836 0.3836 0.1935 Pm
0.6164 0.6164 0.8065 Pm
0.6763 0.9290 0.4333 Pm
0.7531 0.2469 0.0000 Pm
0.9290 0.6763 0.4333 Pm
0.0000 0.0000 0.0000 Al
0.3079 0.6921 0.5000 Ir
0.6921 0.3079 0.5000 Ir
```

The total magnetization is 0.0 μB/cell. As for the space group: No. 12. Its formation energy is -295 meV/atom. The crystal system is monoclinic.

First-principles (PBE) data for a geometry-optimized Pm3AlIr3 structure, as listed in the Alexandria database.

```
Pm3AlIr3
1.0
8.5986 0.0000 0.0000
-4.2993 7.4466 0.0000
0.0000 0.0000 5.7224
Pm Al Ir
6 2 6
Direct
0.0505 0.3514 0.2500 Pm
0.3009 0.9495 0.2500 Pm
0.3514 0.3009 0.7500 Pm
0.6486 0.6991 0.2500 Pm
0.6991 0.0505 0.7500 Pm
0.9495 0.6486 0.7500 Pm
0.3333 0.6667 0.7500 Al
0.6667 0.3333 0.2500 Al
0.0604 0.3785 0.7500 Ir
0.3181 0.9396 0.7500 Ir
0.3785 0.3181 0.2500 Ir
0.6215 0.6819 0.7500 Ir
0.6819 0.0604 0.2500 Ir
0.9396 0.6215 0.2500 Ir
```

The total magnetization is 0.0 μB/cell. As for the space group: No. 176. Its formation energy is -440 meV/atom. The crystal system is hexagonal.

First-principles (PBE) data for a geometry-optimized Pm3Al8Ir3 structure, as listed in the Alexandria database.

```
Pm3Al8Ir3
1.0
7.9310 -2.2264 0.0000
7.9310 2.2264 0.0000
-4.7928 0.0000 7.4699
Pm Al Ir
3 8 3
Direct
0.0000 0.0000 0.0000 Pm
0.2871 0.2871 0.3040 Pm
0.7129 0.7129 0.6960 Pm
0.1292 0.1292 0.4186 Al
0.1398 0.1398 0.8437 Al
0.3507 0.3507 0.7331 Al
0.4896 0.4896 0.3211 Al
0.5104 0.5104 0.6789 Al
0.6493 0.6493 0.2669 Al
0.8602 0.8602 0.1563 Al
0.8708 0.8708 0.5814 Al
0.0000 0.0000 0.5000 Ir
0.3312 0.3312 0.9968 Ir
0.6688 0.6688 0.0032 Ir
```

The total magnetization is 0.0 μB/cell. As for the space group: No. 12. Its formation energy is -730 meV/atom. The crystal system is monoclinic.